(1)
## FeHgCl2 (PBE)

Data for FeHgCl2 after structural relaxation.

The calculation puts the relative energy among the computed polymorphs at 716 meV per atom.

Lattice parameters (Å, degrees): 5.2074 5.0993 4.9949 65.48 81.59 116.04
Last column: magnetic moment on the atom in μB.
Fractional positions:
Fe1 0.0000 0.5000 0.5000  3.15
Cl1 0.5000 0.0000 0.5000  0.02
Cl2 0.0000 0.0000 0.0000  0.02
Hg1 0.5000 0.5000 0.0000  -0.02


(2)
## FeHgCl2 (PBE)

Data for FeHgCl2 after structural relaxation.

The calculation puts the relative energy among the computed polymorphs at 130 meV per atom.

Lattice parameters (Å, degrees): 6.5229 6.5229 6.5229 150.48 117.93 70.21
Last column: magnetic moment on the atom in μB.
Fractional positions:
Cl1 0.5941 0.5941 0.0000  0.14
Cl2 0.9059 0.9059 0.0000  0.14
Fe1 0.7500 0.2500 0.5000  3.48
Hg1 0.2500 0.7500 0.5000  0.02


(3)
## FeHg2Cl4 (PBE)

Data for FeHg2Cl4 after structural relaxation.

Lattice parameters (Å, degrees): 6.7640 6.7594 6.7594 48.48 80.25 99.75
Last column: magnetic moment on the atom in μB.
Fractional positions:
Hg1 0.4967 0.1128 0.4041  0.01
Hg2 0.4967 0.5959 0.8872  0.01
Cl1 0.0023 0.9346 0.7689  0.20
Cl2 0.2971 0.7828 0.2172  0.20
Cl3 0.0023 0.2311 0.0654  0.20
Cl4 0.7033 0.4845 0.5155  0.19
Fe1 0.0018 0.8584 0.1416  3.73


(4)
## FeHgCl2 (PBE)

Data for FeHgCl2 after structural relaxation.

The calculation puts the relative energy among the computed polymorphs at 118 meV per atom.

Lattice parameters (Å, degrees): 3.3189 3.5501 9.8086 84.36 90.00 90.00
Last column: magnetic moment on the atom in μB.
Fractional positions:
Cl1 0.0000 0.1540 0.0877  0.13
Cl2 0.0000 0.3460 0.4123  0.13
Hg1 0.5000 0.7500 0.7500  0.01
Fe1 0.5000 0.2500 0.2500  3.44


(5)
## Fe2HgI6Cl2 (PBE)

Data for Fe2HgI6Cl2 after structural relaxation.

Lattice parameters (Å, degrees): 7.3799 7.3799 10.0899 90.00 90.00 120.00
Last column: magnetic moment on the atom in μB.
Fractional positions:
I1 0.0010 0.6652 0.8189  0.19
I2 0.6642 0.9990 0.8189  0.19
I3 0.9990 0.3348 0.1811  0.19
I4 0.3348 0.3358 0.8189  0.19
I5 0.6652 0.6642 0.1811  0.19
I6 0.3358 0.0010 0.1811  0.19
Cl1 0.3333 0.6667 0.5241  0.26
Cl2 0.6667 0.3333 0.4759  0.26
Fe1 0.6667 0.3333 0.2630  3.56
Fe2 0.3333 0.6667 0.7370  3.56
Hg1 0.0000 0.0000 0.0000  0.04


(6)
## FeHgI2Cl (PBE)

Data for FeHgI2Cl after structural relaxation.

Lattice parameters (Å, degrees): 5.5025 4.3986 5.5025 90.00 90.00 90.00
Fractional positions:
Hg1 0.5000 0.5000 0.5000
Fe1 0.0000 0.0000 0.0000
I1 0.5000 0.0000 0.0000
I2 0.0000 0.0000 0.5000
Cl1 0.0000 0.5000 0.0000


(7)
## KFe2HgCl8 (PBE)

Data for KFe2HgCl8 after structural relaxation.

Lattice parameters (Å, degrees): 6.5323 6.5323 10.1844 71.29 71.29 60.00
Last column: magnetic moment on the atom in μB.
Fractional positions:
Fe1 0.7507 0.7507 0.7480  3.62
Fe2 0.2493 0.2493 0.2520  3.62
Cl1 0.7138 0.0549 0.8232  0.14
Cl2 0.1717 0.1717 0.4848  0.18
Cl3 0.0549 0.4080 0.8232  0.14
Cl4 0.2862 0.9451 0.1768  0.14
Cl5 0.8283 0.8283 0.5152  0.18
Cl6 0.4080 0.7138 0.8232  0.14
Cl7 0.5920 0.2862 0.1768  0.14
Cl8 0.9451 0.5920 0.1768  0.14
K1 0.5000 0.5000 0.5000  0.00
Hg1 0.0000 0.0000 0.0000  -0.12


(8)
## K2FeHgCl6 (PBE)

Data for K2FeHgCl6 after structural relaxation.

Lattice parameters (Å, degrees): 7.3351 7.3345 7.1539 59.14 59.18 59.96
Last column: magnetic moment on the atom in μB.
Fractional positions:
Cl1 0.5417 0.1531 0.2940  0.05
Cl2 0.1528 0.0119 0.2941  0.05
Cl3 0.4795 0.6204 0.8089  0.05
Cl4 0.6208 0.0898 0.8101  0.05
Cl5 0.0906 0.4792 0.8089  0.05
Cl6 0.0116 0.5425 0.2929  0.05
K1 0.0719 0.0718 0.7841  0.00
K2 0.5603 0.5604 0.3194  0.00
Fe1 0.3162 0.3162 0.0514  3.55
Hg1 0.8161 0.8162 0.5513  -0.05


(9)
## Mn2FeHgCl (PBE)

Data for Mn2FeHgCl after structural relaxation.

Lattice parameters (Å, degrees): 4.3295 4.1462 4.3295 90.00 90.00 90.00
Last column: magnetic moment on the atom in μB.
Fractional positions:
Mn1 0.0000 0.0000 0.5000  2.81
Mn2 0.5000 0.0000 0.0000  2.93
Fe1 0.0000 0.5000 0.0000  1.65
Hg1 0.5000 0.5000 0.5000  -0.09
Cl1 0.0000 0.0000 0.0000  0.00


(10)
## FeHgMoCl2 (PBE)

Data for FeHgMoCl2 after structural relaxation.

Lattice parameters (Å, degrees): 5.3376 5.2193 5.3376 90.00 90.00 90.00
Last column: magnetic moment on the atom in μB.
Fractional positions:
Hg1 0.0000 0.0000 0.0000  -0.01
Cl1 0.0000 0.0000 0.5000  0.03
Cl2 0.5000 0.0000 0.0000  0.02
Mo1 0.5000 0.5000 0.5000  3.92
Fe1 0.0000 0.5000 0.0000  3.08


(11)
## FeNiHg2Cl (PBE)

Data for FeNiHg2Cl after structural relaxation.

Lattice parameters (Å, degrees): 5.8624 4.0035 5.8624 90.00 90.00 90.00
Last column: magnetic moment on the atom in μB.
Fractional positions:
Hg1 0.5000 0.0000 0.0000  0.02
Hg2 0.0000 0.0000 0.5000  0.03
Fe1 0.5000 0.5000 0.5000  3.38
Ni1 0.0000 0.5000 0.0000  0.50
Cl1 0.0000 0.0000 0.0000  0.07


(12)
## Fe2HgOsCl (PBE)

Data for Fe2HgOsCl after structural relaxation.

Lattice parameters (Å, degrees): 4.0217 5.2411 4.0217 90.00 90.00 90.00
Last column: magnetic moment on the atom in μB.
Fractional positions:
Os1 0.5000 0.5000 0.5000  -1.21
Fe1 0.0000 0.0000 0.5000  -0.12
Fe2 0.5000 0.0000 0.0000  0.19
Hg1 0.0000 0.5000 0.0000  0.02
Cl1 0.0000 0.0000 0.0000  0.02


(13)
## FeHgPbCl4 (PBE)

Data for FeHgPbCl4 after structural relaxation.

Lattice parameters (Å, degrees): 8.0356 8.0356 8.5217 74.60 74.60 68.54
Last column: magnetic moment on the atom in μB.
Fractional positions:
Hg1 0.9670 0.9670 0.8048  0.01
Hg2 0.0330 0.0330 0.1952  0.01
Cl1 0.2313 0.2313 0.5519  0.08
Cl2 0.4793 0.4793 0.7067  0.07
Cl3 0.7687 0.7687 0.4481  0.08
Cl4 0.5207 0.5207 0.2933  0.07
Cl5 0.8687 0.4895 0.8709  0.06
Cl6 0.4895 0.8687 0.8709  0.06
Cl7 0.1313 0.5105 0.1291  0.06
Cl8 0.5105 0.1313 0.1291  0.06
Pb1 0.2647 0.2647 0.8828  0.02
Pb2 0.7353 0.7353 0.1172  0.02
Fe1 0.3496 0.3496 0.2937  3.39
Fe2 0.6504 0.6504 0.7063  3.39


(14)
## RbFeHg2Cl8 (PBE)

Data for RbFeHg2Cl8 after structural relaxation.

Lattice parameters (Å, degrees): 6.3930 7.0431 9.0310 61.64 88.22 92.98
Last column: magnetic moment on the atom in μB.
Fractional positions:
Cl1 0.5137 0.7090 0.5762  -0.01
Cl2 0.8904 0.2391 0.7429  -0.01
Cl3 0.8063 0.7265 0.9955  0.01
Cl4 0.7225 0.0592 0.1339  -0.01
Cl5 0.2775 0.9408 0.8661  -0.01
Cl6 0.1096 0.7609 0.2571  -0.01
Cl7 0.4863 0.2910 0.4238  -0.01
Cl8 0.1937 0.2735 0.0045  0.01
Hg1 0.4815 0.3117 0.7535  -0.01
Hg2 0.5185 0.6883 0.2465  -0.01
Rb1 0.0000 0.0000 0.5000  0.00
Fe1 0.0000 0.0000 0.0000  1.01


(15)
## Rb2FeHgCl6 (PBE)

Data for Rb2FeHgCl6 after structural relaxation.

Lattice parameters (Å, degrees): 7.4080 7.4059 7.2199 118.99 119.05 93.17
Last column: magnetic moment on the atom in μB.
Fractional positions:
Cl1 0.1922 0.1912 0.9035  0.04
Cl2 0.8076 0.8100 0.0964  0.04
Cl3 0.7143 0.7151 0.5248  0.04
Cl4 0.2855 0.2856 0.4747  0.04
Cl5 0.2223 0.7761 0.9999  0.07
Cl6 0.7772 0.2242 0.9993  0.07
Rb1 0.7501 0.2507 0.5004  0.00
Rb2 0.2499 0.7504 0.4996  0.00
Hg1 0.4999 0.5003 0.9997  -0.05
Fe1 0.9998 0.0003 0.9995  3.56


(16)
## RbFeHgCl5 (PBE)

Data for RbFeHgCl5 after structural relaxation.

Lattice parameters (Å, degrees): 7.7737 7.7737 9.5953 102.34 102.34 106.21
Last column: magnetic moment on the atom in μB.
Fractional positions:
Cl1 0.1017 0.6644 0.8731  0.11
Cl2 0.2629 0.4105 0.5748  0.12
Cl3 0.6644 0.1017 0.3731  0.11
Cl4 0.8983 0.3356 0.1269  0.11
Cl5 0.0680 0.9320 0.2500  -0.02
Cl6 0.4105 0.2629 0.0748  0.12
Cl7 0.3356 0.8983 0.6269  0.11
Cl8 0.9320 0.0680 0.7500  -0.02
Cl9 0.7371 0.5895 0.4252  0.12
Cl10 0.5895 0.7371 0.9252  0.12
Rb1 0.6591 0.3409 0.7500  0.00
Rb2 0.3409 0.6591 0.2500  0.00
Fe1 0.3205 0.6795 0.7500  3.58
Fe2 0.6795 0.3205 0.2500  3.58
Hg1 0.0000 0.0000 0.5000  -0.07
Hg2 0.0000 0.0000 0.0000  -0.07


(17)
## FeReHg2Cl (PBE)

Data for FeReHg2Cl after structural relaxation.

Lattice parameters (Å, degrees): 5.1380 4.4342 5.1380 90.00 90.00 90.00
Last column: magnetic moment on the atom in μB.
Fractional positions:
Re1 0.0000 0.5000 0.0000  2.21
Fe1 0.0000 0.0000 0.0000  -0.94
Hg1 0.5000 0.0000 0.0000  0.01
Hg2 0.0000 0.0000 0.5000  0.00
Cl1 0.5000 0.5000 0.5000  0.11


(18)
## SrFeHg2Cl (PBE)

Data for SrFeHg2Cl after structural relaxation.

Lattice parameters (Å, degrees): 6.3903 5.7372 6.3903 90.00 90.00 90.00
Last column: magnetic moment on the atom in μB.
Fractional positions:
Sr1 0.0000 0.0000 0.0000  -0.07
Cl1 0.5000 0.5000 0.5000  0.01
Hg1 0.0000 0.0000 0.5000  0.00
Hg2 0.5000 0.0000 0.0000  -0.01
Fe1 0.0000 0.5000 0.0000  3.04


(19)
## TlFeHgCl5 (PBE)

Data for TlFeHgCl5 after structural relaxation.

Lattice parameters (Å, degrees): 7.6496 7.6496 9.5098 102.91 102.91 106.22
Last column: magnetic moment on the atom in μB.
Fractional positions:
Fe1 0.3205 0.6795 0.7500  3.52
Fe2 0.6795 0.3205 0.2500  3.52
Cl1 0.9239 0.0761 0.7500  -0.03
Cl2 0.6649 0.0985 0.3738  0.09
Cl3 0.0985 0.6649 0.8738  0.09
Cl4 0.4041 0.2646 0.0708  0.11
Cl5 0.0761 0.9239 0.2500  -0.03
Cl6 0.5959 0.7354 0.9292  0.11
Cl7 0.7354 0.5959 0.4292  0.11
Cl8 0.3351 0.9015 0.6262  0.09
Cl9 0.2646 0.4041 0.5708  0.11
Cl10 0.9015 0.3351 0.1262  0.09
Tl1 0.6564 0.3436 0.7500  0.01
Tl2 0.3436 0.6564 0.2500  0.01
Hg1 0.0000 0.0000 0.5000  -0.09
Hg2 0.0000 0.0000 0.0000  -0.09


(20)
## TlFe2HgCl8 (PBE)

Data for TlFe2HgCl8 after structural relaxation.

Lattice parameters (Å, degrees): 6.5178 6.5178 10.1601 71.29 71.29 60.00
Last column: magnetic moment on the atom in μB.
Fractional positions:
Hg1 0.0000 0.0000 0.0000  -0.11
Tl1 0.5000 0.5000 0.5000  0.00
Cl1 0.7130 0.0561 0.8230  0.14
Cl2 0.2870 0.9439 0.1770  0.14
Cl3 0.9439 0.5921 0.1770  0.14
Cl4 0.0561 0.4079 0.8230  0.14
Cl5 0.5921 0.2870 0.1770  0.14
Cl6 0.4079 0.7130 0.8230  0.14
Cl7 0.1713 0.1713 0.4861  0.18
Cl8 0.8287 0.8287 0.5139  0.18
Fe1 0.2491 0.2491 0.2527  3.62
Fe2 0.7509 0.7509 0.7473  3.62


(21)
## Tl2FeHgCl6 (PBE)

Data for Tl2FeHgCl6 after structural relaxation.

Lattice parameters (Å, degrees): 7.3887 7.3982 7.1687 58.86 58.96 59.93
Last column: magnetic moment on the atom in μB.
Fractional positions:
Cl1 0.4854 0.6129 0.8066  0.06
Cl2 0.1469 0.0193 0.2965  0.06
Cl3 0.0196 0.5388 0.2946  0.06
Cl4 0.0929 0.4853 0.8078  0.06
Cl5 0.6128 0.0934 0.8085  0.06
Cl6 0.5393 0.1472 0.2953  0.05
Tl1 0.0734 0.0736 0.7791  0.01
Tl2 0.5589 0.5586 0.3242  0.01
Fe1 0.3162 0.3162 0.0513  3.55
Hg1 0.8161 0.8162 0.5513  -0.06


(22)
## VFeHgCl6 (PBE)

Data for VFeHgCl6 after structural relaxation.

Lattice parameters (Å, degrees): 6.1819 6.1828 8.7088 90.00 90.00 59.98
Last column: magnetic moment on the atom in μB.
Fractional positions:
Cl1 0.3694 0.6377 0.3432  0.07
Cl2 0.9927 0.6379 0.6566  0.07
Cl3 0.6379 0.9927 0.3434  0.07
Cl4 0.3694 0.9929 0.6567  0.07
Cl5 0.6377 0.3694 0.6567  0.07
Cl6 0.9929 0.3695 0.3433  0.07
V1 0.6665 0.6666 0.5000  1.61
Fe1 0.3335 0.3334 0.5000  3.71
Hg1 0.9999 0.0000 0.0000  -0.01


(23)
## FeHgWCl2 (PBE)

Data for FeHgWCl2 after structural relaxation.

Lattice parameters (Å, degrees): 4.3228 5.9703 4.3228 90.00 90.00 90.00
Last column: magnetic moment on the atom in μB.
Fractional positions:
Hg1 0.0000 0.5000 0.0000  0.06
Cl1 0.0000 0.0000 0.5000  0.04
Cl2 0.5000 0.0000 0.0000  -0.03
Fe1 0.0000 0.0000 0.0000  -0.04
W1 0.5000 0.5000 0.5000  3.07


(24)
## ZrFe2HgCl (PBE)

Data for ZrFe2HgCl after structural relaxation.

Lattice parameters (Å, degrees): 4.2483 4.8100 4.2483 90.00 90.00 90.00
Last column: magnetic moment on the atom in μB.
Fractional positions:
Fe1 0.0000 0.0000 0.5000  1.97
Fe2 0.5000 0.0000 0.0000  2.16
Cl1 0.0000 0.0000 0.0000  0.01
Zr1 0.0000 0.5000 0.0000  -0.21
Hg1 0.5000 0.5000 0.5000  -0.01


(25)
## Ho2FeCl (PBE)

Data for Ho2FeCl after structural relaxation.

Lattice parameters (Å, degrees): 3.2694 3.2694 10.0578 80.65 80.65 60.00
Last column: magnetic moment on the atom in μB.
Fractional positions:
Fe1 0.0000 0.0000 0.0000  2.66
Ho1 0.0902 0.0902 0.7294  -0.19
Ho2 0.9098 0.9098 0.2706  -0.19
Cl1 0.5000 0.5000 0.5000  0.00


| no. | raw total energy (eV per atom) | total magnetic moment (μB/cell) | density of states at the Fermi level (states/eV per cell) |
| --- | --- | --- | --- |
| 1 | -2.916 | 3.34 | 2.992 |
| 2 | -3.502 | 3.98 | 2.933 |
| 3 | -2.952 | 5.00 | 0.140 |
| 4 | -3.514 | 3.90 | 1.534 |
| 5 | -3.041 | 10.01 | 0.007 |
| 6 | -2.636 | 0.02 | 8.277 |
| 7 | -3.679 | 9.00 | 3.767 |
| 8 | -3.363 | 4.02 | 3.804 |
| 9 | -5.127 | 7.25 | 3.615 |
| 10 | -3.284 | 8.10 | 9.975 |
| 11 | -2.388 | 4.22 | 7.946 |
| 12 | -4.388 | 1.17 | 9.321 |
| 13 | -3.567 | 8.00 | 12.301 |
| 14 | -2.882 | 1.00 | 4.033 |
| 15 | -3.353 | 4.02 | 2.684 |
| 16 | -3.374 | 8.54 | 8.471 |
| 17 | -3.707 | 1.85 | 3.581 |
| 18 | -1.932 | 3.05 | 1.106 |
| 19 | -3.295 | 8.21 | 8.567 |
| 20 | -3.625 | 9.00 | 2.602 |
| 21 | -3.231 | 4.03 | 3.734 |
| 22 | -4.064 | 6.18 | 12.146 |
| 23 | -3.905 | 4.21 | 6.971 |
| 24 | -5.124 | 3.74 | 4.574 |
| 25 | -4.901 | 2.18 | 3.171 |